# GGA-PBE TmAlPd3, relaxed
# Energy of formation: -0.77 eV/atom
# Crystal system: orthorhombic
# Fermi-level density of states: 8.056 states/eV/cell
data_TmAlPd3
_space_group_name_H-M_alt 'P 1'
_space_group_IT_number 1
_space_group_name_Hall 'P 1'
_cell_length_a 5.5079
_cell_length_b 8.5187
_cell_length_c 7.7546
_cell_angle_alpha 90.00
_cell_angle_beta 90.00
_cell_angle_gamma 90.00
loop_
_atom_site_label
_atom_site_type_symbol
_atom_site_fract_x
_atom_site_fract_y
_atom_site_fract_z
Pd1 Pd 0.2496 0.7501 0.5593
Pd2 Pd 0.7504 0.2499 0.0593
Pd3 Pd 0.9995 0.6727 0.2500
Al1 Al 0.0000 0.5000 0.0000
Tm1 Tm 0.0001 0.9994 0.2500
Pd4 Pd 0.2504 0.2501 0.0593
Pd5 Pd 0.5005 0.1727 0.7500
Al2 Al 0.5000 0.0000 0.5000
Pd6 Pd 0.2496 0.7501 0.9407
Tm2 Tm 0.5001 0.5006 0.2500
Tm3 Tm 0.9999 0.0006 0.7500
Pd7 Pd 0.7496 0.7499 0.5593
Al3 Al 0.5000 0.0000 0.0000
Tm4 Tm 0.4999 0.4994 0.7500
Al4 Al 0.0000 0.5000 0.5000
Pd8 Pd 0.4995 0.8273 0.2500
Pd9 Pd 0.0005 0.3273 0.7500
Pd10 Pd 0.7496 0.7499 0.9407
Pd11 Pd 0.2504 0.2501 0.4407
Pd12 Pd 0.7504 0.2499 0.4407